Computed, not measured: a geometry-optimized YBeZnAu structure at the GGA-PBE level of DFT.

Properties
Electronic total energy ... -3.9132 eV/atom
Offset from the most stable computed form ... 53 meV/atom

Cell lengths 4.6597, 4.6597, 4.6597 Å; angles 60.00, 60.00, 60.00 degrees
Last column: nearest neighbours and their distance in Å.
Fractional coordinates of all 4 atoms:
1 Be 0.2500 0.2500 0.2500  4 Y 2.85, 4 Zn 2.85
2 Zn 0.0000 0.0000 0.0000  4 Be 2.85, 4 Au 2.85
3 Y 0.5000 0.5000 0.5000  4 Au 2.85, 4 Be 2.85
4 Au 0.7500 0.7500 0.7500  4 Zn 2.85, 4 Y 2.85